(1)
The following is a PBE calculation of a relaxed structure of Ac2CdPt, from Alexandria.

Excess energy over the best structure of this formula in the dataset in meV per atom: 139
Calculated density in g cm⁻³: 10.5
SG: No. 225
Total moment in μB/cell: 0.00
Formation energy in meV per atom: -592

CIF file:
```
data_Ac2CdPt
_space_group_name_H-M_alt 'P 1'
_space_group_IT_number 1
_cell_length_a 7.829
_cell_length_b 7.829
_cell_length_c 7.829
_cell_angle_alpha 90.00
_cell_angle_beta 90.00
_cell_angle_gamma 90.00
loop_
_space_group_symop_operation_xyz
'x,y,z'
loop_
_atom_site_label
_atom_site_fract_x
_atom_site_fract_y
_atom_site_fract_z
Ac1 0.250 0.250 0.250
Ac2 0.250 0.250 0.750
Ac3 0.250 0.750 0.250
Ac4 0.250 0.750 0.750
Ac5 0.750 0.250 0.250
Ac6 0.750 0.250 0.750
Ac7 0.750 0.750 0.250
Ac8 0.750 0.750 0.750
Cd1 0.000 0.000 0.000
Cd2 0.000 0.500 0.500
Cd3 0.500 0.000 0.500
Cd4 0.500 0.500 0.000
Pt1 0.000 0.000 0.500
Pt2 0.000 0.500 0.000
Pt3 0.500 0.000 0.000
Pt4 0.500 0.500 0.500
```



(2)
The following is a PBE calculation of a relaxed structure of Ac12CdPt6, from Alexandria.

Calculated density in g cm⁻³: 10.1
SG: No. 204
Total moment in μB/cell: 0.00
Formation energy in meV per atom: -753

CIF file:
```
data_Ac12CdPt6
_space_group_name_H-M_alt 'P 1'
_space_group_IT_number 1
_cell_length_a 9.499
_cell_length_b 9.499
_cell_length_c 9.499
_cell_angle_alpha 109.47
_cell_angle_beta 109.47
_cell_angle_gamma 109.47
loop_
_space_group_symop_operation_xyz
'x,y,z'
loop_
_atom_site_label
_atom_site_fract_x
_atom_site_fract_y
_atom_site_fract_z
Ac1 0.132 0.822 0.310
Ac2 0.178 0.310 0.489
Ac3 0.178 0.690 0.868
Ac4 0.310 0.132 0.822
Ac5 0.310 0.489 0.178
Ac6 0.489 0.178 0.310
Ac7 0.511 0.822 0.690
Ac8 0.690 0.511 0.822
Ac9 0.690 0.868 0.178
Ac10 0.822 0.310 0.132
Ac11 0.822 0.690 0.511
Ac12 0.868 0.178 0.690
Cd1 0.000 0.000 0.000
Pt1 0.132 0.632 0.500
Pt2 0.368 0.500 0.868
Pt3 0.500 0.132 0.632
Pt4 0.500 0.868 0.368
Pt5 0.632 0.500 0.132
Pt6 0.868 0.368 0.500
```



(3)
The following is a PBE calculation of a relaxed structure of Ac3CdPt2, from Alexandria.

Calculated density in g cm⁻³: 10.1
SG: No. 63
Total moment in μB/cell: 0.00
Formation energy in meV per atom: -676

CIF file:
```
data_Ac3CdPt2
_space_group_name_H-M_alt 'P 1'
_space_group_IT_number 1
_cell_length_a 7.240
_cell_length_b 7.240
_cell_length_c 10.406
_cell_angle_alpha 90.00
_cell_angle_beta 90.00
_cell_angle_gamma 134.48
loop_
_space_group_symop_operation_xyz
'x,y,z'
loop_
_atom_site_label
_atom_site_fract_x
_atom_site_fract_y
_atom_site_fract_z
Ac1 0.096 0.904 0.750
Ac2 0.370 0.630 0.548
Ac3 0.370 0.630 0.952
Ac4 0.630 0.370 0.048
Ac5 0.630 0.370 0.452
Ac6 0.904 0.096 0.250
Cd1 0.224 0.776 0.250
Cd2 0.776 0.224 0.750
Pt1 0.000 0.000 0.000
Pt2 0.000 0.000 0.500
Pt3 0.462 0.538 0.250
Pt4 0.538 0.462 0.750
```